# Pr3ZnSi GGA-PBE relaxed
# Symmetry: No. 2
# Fermi-level density of states, states/eV per atom: 1.037
# ΔE_f (raw), eV per atom: -0.34
# Final energy, eV per cell: -45.51
data_Pr3ZnSi
_chemical_formula_sum 'Pr6 Zn2 Si2'
_symmetry_space_group_name_H-M 'P 1'
_symmetry_Int_Tables_number 1
_cell_length_a 4.482
_cell_length_b 7.177
_cell_length_c 9.087
_cell_angle_alpha 93.98
_cell_angle_beta 90.26
_cell_angle_gamma 108.01
loop_
_symmetry_equiv_pos_as_xyz
'x,y,z'
loop_
_atom_site_label
_atom_site_type_symbol
_atom_site_fract_x
_atom_site_fract_y
_atom_site_fract_z
Pr1 Pr 0.049 0.101 0.320
Pr2 Pr 0.236 0.471 0.673
Pr3 Pr 0.403 0.815 0.102
Pr4 Pr 0.597 0.185 0.898
Pr5 Pr 0.764 0.529 0.327
Pr6 Pr 0.951 0.899 0.680
Zn1 Zn 0.201 0.390 0.065
Zn2 Zn 0.799 0.610 0.935
Si1 Si 0.413 0.825 0.445
Si2 Si 0.587 0.175 0.555